Entry from Alexandria: crystalline LaBeS3 at its relaxed geometry (PBE).

The structure in POSCAR format:
```
LaBeS3
1.0
-1.271 0.923 4.205
-3.432 -2.864 -0.409
2.599 -3.331 1.517
S La Be
3 1 1
Direct
0.000 0.000 0.500
0.500 0.000 0.000
0.000 0.500 0.000
0.500 0.500 0.500
0.000 0.000 0.000
```

Values from the calculation:
DFT total energy ... -5.287 eV/atom
Size of the total moment ... 0.000 μB per atom
Space-group type ... No. 221
Raw formation energy ... -1.080 eV per atom
Mass density ... 4.5 g/cm3